[1]
{"formula": "Pr2GdMg3Ga2Au", "functional": "GGA-PBE", "state": "relaxed", "lattice_angstrom": [[-2.292, -0.583, -3.767], [-1.708, -7.011, 2.125], [-4.544, 5.690, 1.884]], "species": ["Ga", "Ga", "Gd", "Mg", "Mg", "Mg", "Au", "Pr", "Pr"], "frac_coords": [[0.500, 0.339, 0.666], [0.500, 0.666, 0.339], [0.000, 0.585, 0.585], [0.500, 0.757, 0.998], [0.500, 0.244, 0.244], [0.500, 0.998, 0.757], [0.000, 0.994, 0.994], [0.000, 0.001, 0.417], [0.000, 0.417, 0.001]], "crystal_system": "orthorhombic", "dft_energy_ev_per_atom": -3.698}

=====

[2]
{"formula": "GdY2Mg3Ga2Au", "functional": "GGA-PBE", "state": "relaxed", "lattice_angstrom": [[-0.589, -1.823, -3.913], [-3.311, -5.776, 3.189], [-3.981, 5.843, -2.122]], "species": ["Mg", "Mg", "Mg", "Y", "Y", "Ga", "Ga", "Au", "Gd"], "frac_coords": [[0.500, 0.000, 0.245], [0.500, 0.755, 0.755], [0.500, 0.245, 0.000], [0.000, 0.000, 0.583], [0.000, 0.583, 0.000], [0.500, 0.667, 0.333], [0.500, 0.333, 0.667], [0.000, 0.999, 0.999], [0.000, 0.417, 0.417]], "crystal_system": "orthorhombic", "dft_energy_ev_per_atom": -4.107}

=====

[3]
{"formula": "Gd2YMg3Ga2Au", "functional": "GGA-PBE", "state": "relaxed", "lattice_angstrom": [[4.365, 0.000, 0.000], [0.000, 6.390, 3.699], [0.000, -6.390, 3.699]], "species": ["Mg", "Mg", "Mg", "Gd", "Gd", "Y", "Au", "Ga", "Ga"], "frac_coords": [[0.500, 0.245, 0.245], [0.500, 0.755, 0.999], [0.500, 0.999, 0.755], [0.000, 0.000, 0.417], [0.000, 0.417, 0.000], [0.000, 0.583, 0.583], [0.000, 0.999, 0.999], [0.500, 0.334, 0.667], [0.500, 0.667, 0.334]], "crystal_system": "orthorhombic", "dft_energy_ev_per_atom": -3.900}

=====

[4]
{"formula": "NdGd2Zn3Ga2Au", "functional": "GGA-PBE", "state": "relaxed", "lattice_angstrom": [[-3.763, -1.695, 1.234], [1.111, -5.615, -4.325], [2.307, -0.177, 6.791]], "species": ["Gd", "Gd", "Au", "Nd", "Zn", "Zn", "Zn", "Ga", "Ga"], "frac_coords": [[0.000, 0.999, 0.415], [0.000, 0.415, 0.999], [0.000, 0.006, 0.006], [0.000, 0.584, 0.584], [0.500, 0.244, 0.244], [0.500, 0.755, 0.002], [0.500, 0.002, 0.755], [0.500, 0.668, 0.329], [0.500, 0.329, 0.668]], "crystal_system": "orthorhombic", "dft_energy_ev_per_atom": -3.600}

=====

[5]
{"formula": "Pr2GdZn3Ga2Au", "functional": "GGA-PBE", "state": "relaxed", "lattice_angstrom": [[4.352, 0.000, 0.000], [0.000, 6.281, 3.622], [0.000, -6.281, 3.622]], "species": ["Pr", "Pr", "Gd", "Zn", "Zn", "Zn", "Ga", "Ga", "Au"], "frac_coords": [[0.000, 0.584, 0.998], [0.000, 0.998, 0.584], [0.000, 0.414, 0.414], [0.500, 0.004, 0.246], [0.500, 0.752, 0.752], [0.500, 0.246, 0.004], [0.500, 0.335, 0.659], [0.500, 0.659, 0.335], [0.000, 0.007, 0.007]], "crystal_system": "orthorhombic", "dft_energy_ev_per_atom": -3.588}

=====

[6]
{"formula": "TbGd2Ga3PtAu2", "functional": "GGA-PBE", "state": "relaxed", "lattice_angstrom": [[-3.387, -0.360, 1.886], [3.640, -2.349, 6.089], [-1.321, 7.290, -0.981]], "species": ["Au", "Au", "Gd", "Gd", "Ga", "Ga", "Ga", "Pt", "Tb"], "frac_coords": [[0.500, 0.666, 0.334], [0.500, 0.334, 0.666], [0.000, 0.000, 0.404], [0.000, 0.404, 0.000], [0.500, 0.247, 0.247], [0.500, 0.000, 0.753], [0.500, 0.753, 0.000], [0.000, 0.999, 0.999], [0.000, 0.597, 0.597]], "crystal_system": "orthorhombic", "dft_energy_ev_per_atom": -4.844}

=====

[7]
{"formula": "Gd2TmGa3PtAu2", "functional": "GGA-PBE", "state": "relaxed", "lattice_angstrom": [[-3.508, -1.038, -1.258], [0.928, -6.755, 2.985], [-3.062, 5.445, 4.048]], "species": ["Ga", "Ga", "Ga", "Tm", "Au", "Au", "Pt", "Gd", "Gd"], "frac_coords": [[0.500, 0.750, 0.999], [0.500, 0.999, 0.750], [0.500, 0.249, 0.249], [0.000, 0.600, 0.600], [0.500, 0.338, 0.665], [0.500, 0.665, 0.338], [0.000, 0.995, 0.995], [0.000, 0.000, 0.403], [0.000, 0.403, 0.000]], "crystal_system": "orthorhombic", "dft_energy_ev_per_atom": -4.830}

=====

[8]
{"formula": "Gd2YGa3PtAu2", "functional": "GGA-PBE", "state": "relaxed", "lattice_angstrom": [[3.890, 0.000, 0.000], [0.000, 6.477, 3.748], [0.000, -6.477, 3.748]], "species": ["Pt", "Gd", "Gd", "Au", "Au", "Ga", "Ga", "Ga", "Y"], "frac_coords": [[0.000, 0.001, 0.001], [0.000, 0.599, 0.000], [0.000, 0.000, 0.599], [0.500, 0.666, 0.334], [0.500, 0.334, 0.666], [0.500, 0.001, 0.249], [0.500, 0.751, 0.751], [0.500, 0.249, 0.001], [0.000, 0.400, 0.400]], "crystal_system": "orthorhombic", "dft_energy_ev_per_atom": -5.050}

=====

[9]
{"formula": "GdY2Ga3PtAu2", "functional": "GGA-PBE", "state": "relaxed", "lattice_angstrom": [[3.878, 0.000, 0.000], [0.000, 6.480, 3.733], [0.000, -6.480, 3.733]], "species": ["Pt", "Ga", "Ga", "Ga", "Au", "Au", "Gd", "Y", "Y"], "frac_coords": [[0.000, 0.999, 0.999], [0.500, 0.751, 0.751], [0.500, 0.249, 0.999], [0.500, 0.999, 0.249], [0.500, 0.333, 0.667], [0.500, 0.667, 0.333], [0.000, 0.401, 0.401], [0.000, 0.600, 0.000], [0.000, 0.000, 0.600]], "crystal_system": "orthorhombic", "dft_energy_ev_per_atom": -5.256}

=====

[10]
{"formula": "SmGdGa2Au2", "functional": "GGA-PBE", "state": "relaxed", "lattice_angstrom": [[-1.993, 0.320, 4.104], [4.471, -0.914, -0.305], [1.465, 7.113, 0.157]], "species": ["Au", "Au", "Ga", "Ga", "Gd", "Sm"], "frac_coords": [[0.333, 0.667, 0.760], [0.333, 0.667, 0.240], [0.667, 0.333, 0.282], [0.667, 0.333, 0.718], [0.000, 0.000, 0.000], [0.000, 0.000, 0.500]], "crystal_system": "hexagonal", "polymorph_energy_mev_per_atom": 3}

=====

[11]
{"formula": "SmGdGa2Au2", "functional": "GGA-PBE", "state": "relaxed", "lattice_angstrom": [[4.571, 0.000, 0.000], [-2.285, 3.958, 0.000], [0.000, 0.000, 7.273]], "species": ["Ga", "Ga", "Gd", "Au", "Au", "Sm"], "frac_coords": [[0.667, 0.333, 0.718], [0.667, 0.333, 0.282], [0.000, 0.000, 0.500], [0.333, 0.667, 0.241], [0.333, 0.667, 0.759], [0.000, 0.000, 0.000]], "crystal_system": "hexagonal", "polymorph_energy_mev_per_atom": 0}

=====

[12]
{"formula": "GaGe2Au", "functional": "GGA-PBE", "state": "relaxed", "lattice_angstrom": [[0.000, 3.352, 3.352], [3.352, 0.000, 3.352], [3.352, 3.352, 0.000]], "species": ["Au", "Ga", "Ge", "Ge"], "frac_coords": [[0.500, 0.500, 0.500], [0.750, 0.750, 0.750], [0.000, 0.000, 0.000], [0.250, 0.250, 0.250]], "crystal_system": "cubic", "dft_energy_ev_per_atom": -3.732}